Crystalline NaPm2CrO5 at its relaxed geometry. Source: the Alexandria database, functional PBE+U.

Its total energy is -7.29 eV per atom. The volume is 14.4 A^3/atom.

It has space group P4/mbm (No. 127), with a = 6.707 Å, b = 6.707 Å, c = 5.770 Å, α = 90.00°, β = 90.00° and γ = 90.00°. The asymmetric unit holds Na at (0.000, 0.000, 0.000), Pm at (0.178, 0.322, 0.500), Cr at (0.000, 0.500, 0.000), O at (0.000, 0.000, 0.500) and O at (0.136, 0.636, 0.242).